(1)
{
  "formula": "CaThC",
  "functional": "PBE-GGA",
  "state": "relaxed",
  "cell": [[-3.393, 4.450, -3.098], [-3.062, -2.068, 0.383], [0.894, 2.494, 2.604]],
  "species": ["Th", "C", "Ca"],
  "fractional_positions": [[0.208, 0.333, 0.667], [0.027, 0.000, 0.000], [0.765, 0.667, 0.333]],
  "formation_energy_ev_per_atom": -0.052
}

(2)
{
  "formula": "RbBi3Pt",
  "functional": "PBE-GGA",
  "state": "relaxed",
  "cell": [[5.964, 0.000, 0.000], [0.000, 5.964, 0.000], [0.000, 0.000, 5.964]],
  "species": ["Rb", "Bi", "Bi", "Bi", "Pt"],
  "fractional_positions": [[0.000, 0.000, 0.000], [0.000, 0.000, 0.500], [0.000, 0.500, 0.000], [0.500, 0.000, 0.000], [0.500, 0.500, 0.500]],
  "formation_energy_ev_per_atom": 1.860
}

no.,E_tot (eV/cell)
1,-18.800
2,-9.353